KVHgF6 (GGA+U, relaxed); DFT total energy = -41.242 eV per formula unit; DOS(E_F) = 2.91 states/eV per cell; density = 4.67 g/cm³; symmetry = P1, No. 1; crystal system = triclinic
1.0
-3.940 -0.591 4.137
1.453 -2.069 5.406
1.079 4.573 1.450
K V Hg F
1 1 1 6
direct
0.018 0.991 0.116
0.332 0.334 0.457
0.667 0.667 0.682
0.056 0.471 0.195
0.143 0.197 0.645
0.605 0.199 0.724
0.140 0.660 0.645
0.518 0.470 0.268
0.521 0.012 0.268